No. 1
# Pm3SmPt, optimized geometry, DFT PBE
# ΔH_f (0 K) in eV/atom: -0.4835
data_Pm3SmPt
_space_group_name_H-M_alt 'C 1 m 1'
_space_group_IT_number 8
_cell_length_a 12.389
_cell_length_b 3.852
_cell_length_c 14.056
_cell_angle_alpha 90.00
_cell_angle_beta 114.79
_cell_angle_gamma 90.00
loop_
_space_group_symop_operation_xyz
'x,y,z'
'x,-y,z'
'x+1/2,y+1/2,z'
'x+1/2,-y+1/2,z'
loop_
_atom_site_label
_atom_site_fract_x
_atom_site_fract_y
_atom_site_fract_z
Pm1 0.000 0.000 0.000
Pm2 0.021 0.000 0.368
Pm3 0.165 0.500 0.236
Pm4 0.187 0.500 0.602
Pm5 0.226 0.000 0.842
Pm6 0.340 0.000 0.131
Sm1 0.347 0.000 0.473
Sm2 0.460 0.000 0.759
Pt1 0.005 0.000 0.625
Pt2 0.179 0.500 0.977

=====

No. 2
# NiAgGe2As, optimized geometry, DFT PBE
# ΔH_f (0 K) in eV/atom: 0.3199
data_NiAgGe2As
_space_group_name_H-M_alt 'P 4/m m m'
_space_group_IT_number 123
_space_group_name_Hall '-P 4 2'
_cell_length_a 4.568
_cell_length_b 4.568
_cell_length_c 4.766
_cell_angle_alpha 90.00
_cell_angle_beta 90.00
_cell_angle_gamma 90.00
loop_
_atom_site_label
_atom_site_fract_x
_atom_site_fract_y
_atom_site_fract_z
Ni1 0.000 0.000 0.000
Ag1 0.500 0.500 0.500
Ge1 0.000 0.500 0.000
As1 0.000 0.000 0.500

=====

No. 3
# Zn3Cu2Pt, optimized geometry, DFT PBE
# ΔH_f (0 K) in eV/atom: -0.2428
data_Zn3Cu2Pt
_space_group_name_H-M_alt 'C 1 2/c 1'
_space_group_IT_number 15
_cell_length_a 7.837
_cell_length_b 12.195
_cell_length_c 3.988
_cell_angle_alpha 90.00
_cell_angle_beta 120.27
_cell_angle_gamma 90.00
loop_
_space_group_symop_operation_xyz
'x,y,z'
'-x,-y,-z'
'-x,y,-z+1/2'
'x,-y,z+1/2'
'x+1/2,y+1/2,z'
'-x+1/2,-y+1/2,-z'
'-x+1/2,y+1/2,-z+1/2'
'x+1/2,-y+1/2,z+1/2'
loop_
_atom_site_label
_atom_site_fract_x
_atom_site_fract_y
_atom_site_fract_z
Zn1 0.241 0.082 0.492
Zn2 0.250 0.250 0.000
Cu1 0.000 0.088 0.750
Cu2 0.000 0.251 0.250
Pt1 0.000 0.411 0.750

=====

No. 4
# KTlAsBr2, optimized geometry, DFT PBE
# Energy relative to the elements, uncorrected in eV per atom: -0.438
data_KTlAsBr2
_space_group_name_H-M_alt 'P 4/m m m'
_space_group_IT_number 123
_space_group_name_Hall '-P 4 2'
_cell_length_a 6.092
_cell_length_b 6.092
_cell_length_c 5.461
_cell_angle_alpha 90.00
_cell_angle_beta 90.00
_cell_angle_gamma 90.00
loop_
_atom_site_label
_atom_site_fract_x
_atom_site_fract_y
_atom_site_fract_z
K1 0.000 0.000 0.000
Tl1 0.500 0.500 0.500
As1 0.500 0.500 0.000
Br1 0.000 0.500 0.500

=====

No. 5
# LiCdSbRu, optimized geometry, DFT PBE
# Energy relative to the elements, uncorrected in eV per atom: -0.097
data_LiCdSbRu
_space_group_name_H-M_alt 'F -4 3 m'
_space_group_IT_number 216
_space_group_name_Hall 'F -4 2 3'
_cell_length_a 6.518
_cell_length_b 6.518
_cell_length_c 6.518
_cell_angle_alpha 90.00
_cell_angle_beta 90.00
_cell_angle_gamma 90.00
loop_
_atom_site_label
_atom_site_fract_x
_atom_site_fract_y
_atom_site_fract_z
Li1 0.000 0.000 0.000
Cd1 0.250 0.250 0.750
Sb1 0.250 0.250 0.250
Ru1 0.000 0.000 0.500

=====

In the order shown, the computed magnetization values come out to 0.000, 0.000, 0.000, 1.874, 0.001 μB per cell.
In the order shown, the computed DOS(E_F) values come out to 24.93, 2.60, 5.15, 1.15, 13.66 states/eV/cell.
In the order shown, the computed mass density values come out to 8.51, 6.46, 10.46, 3.92, 8.21 g/cm3.